1.
A plane-wave DFT calculation with PBE was carried out for a relaxed structure of FeCo2N2.

POSCAR file:
```
FeCo2N2
1.0
-4.359 -2.724 -3.285
3.763 -4.669 -1.121
-0.849 -1.193 2.116
Co Fe N
4 2 4
Cartesian
0.714 -2.055 -0.872
1.669 -4.968 -2.130
-1.310 -5.339 -3.535
-2.265 -2.425 -2.276
-0.298 -3.697 -2.203
0.000 0.000 0.000
-0.950 -2.355 -0.144
-0.496 -6.232 -2.147
1.335 -4.437 -0.400
-2.781 -4.149 -1.890
```

energy relative to the lowest polymorph listed for this composition: 3.79 eV/f.u.
size of the total moment: 0.459 μB/atom
formation energy from raw total energies: 952.2 meV per atom
density of states at the Fermi level: 10.12 states/eV/cell
calculated volume: 95.77 Å³/cell

***

2.
A plane-wave DFT calculation with PBE was carried out for a relaxed structure of Ca2MgMn.

POSCAR file:
```
Ca2MgMn
1.0
8.496 0.000 0.000
0.000 8.496 0.000
4.248 4.248 3.288
Ca Mn Mg
4 2 2
Cartesian
10.620 10.808 2.466
1.936 6.372 0.822
6.372 6.184 2.466
6.560 2.124 0.822
8.496 4.248 1.644
0.000 0.000 0.000
4.248 8.496 1.644
4.248 4.248 0.000
```

ΔH_f (0 K): 0.52 eV per atom
size of the total moment: 0.917 μB/atom
density of states at the Fermi level: 8.93 states/eV/cell
calculated volume: 237.29 Å³/cell

***

3.
A plane-wave DFT calculation with PBE was carried out for a relaxed structure of BaMgFe2Br8.

POSCAR file:
```
BaMgFe2Br8
1.0
-4.497 -5.043 0.394
5.215 0.228 4.308
-5.117 5.026 5.928
Fe Mg Br Ba
2 1 8 1
Cartesian
-1.802 2.184 7.383
-2.597 -1.973 3.247
-2.558 2.513 2.964
-1.377 0.139 3.375
-4.848 1.831 4.188
-3.129 3.487 8.920
1.941 1.727 4.893
-3.022 0.072 7.255
-6.340 -1.515 5.737
0.449 -1.620 6.442
-1.270 -3.276 1.710
0.000 0.000 0.000
```

size of the total moment: 0.667 μB/atom
formation energy from raw total energies: -1044.5 meV per atom
density of states at the Fermi level: 13.66 states/eV/cell
calculated volume: 369.15 Å³/cell

***

4.
A plane-wave DFT calculation with PBE was carried out for a relaxed structure of Sr4Tl2Zn.

POSCAR file:
```
Sr4Tl2Zn
1.0
-2.896 0.790 5.254
-0.966 -5.962 0.364
5.157 -3.488 6.851
Sr Tl Zn
4 2 1
Cartesian
-1.448 0.395 2.627
-1.122 -5.521 7.180
2.417 -3.139 5.289
-0.483 -2.981 0.182
-0.442 -2.776 3.658
1.737 -5.885 8.811
0.000 0.000 0.000
```

ΔH_f (0 K): -0.10 eV per atom
energy relative to the lowest polymorph listed for this composition: 1.22 eV/f.u.
size of the total moment: 0.000 μB/atom
density of states at the Fermi level: 8.66 states/eV/cell
calculated volume: 300.56 Å³/cell

***

5.
A plane-wave DFT calculation with PBE was carried out for a relaxed structure of HfZn2Cu.

POSCAR file:
```
HfZn2Cu
1.0
-0.039 3.105 3.173
-3.675 2.382 0.730
-2.361 -0.641 3.705
Zn Hf Cu
2 1 1
Cartesian
-4.557 3.634 5.706
-1.519 1.211 1.902
-3.038 2.423 3.804
0.000 0.000 0.000
```

ΔH_f (0 K): -0.09 eV per atom
size of the total moment: 0.000 μB/atom
density of states at the Fermi level: 2.33 states/eV/cell
calculated volume: 61.88 Å³/cell

***

6.
A plane-wave DFT calculation with PBE was carried out for a relaxed structure of Be2PCl.

POSCAR file:
```
Be2PCl
1.0
-1.959 1.795 -3.368
0.337 -1.793 -3.883
-3.399 -1.921 -1.778
Be Cl P
2 1 1
Cartesian
0.000 0.000 0.000
-1.255 -0.480 -2.257
-2.511 -0.959 -4.515
-3.766 -1.439 -6.772
```

energy relative to the lowest polymorph listed for this composition: 6.16 eV/f.u.
size of the total moment: 0.000 μB/atom
formation energy from raw total energies: 1020.5 meV per atom
density of states at the Fermi level: 2.33 states/eV/cell
calculated volume: 55.83 Å³/cell

***

7.
A plane-wave DFT calculation with PBE was carried out for a relaxed structure of Cs2LiCa2.

POSCAR file:
```
Cs2LiCa2
1.0
8.869 0.000 0.000
0.000 8.869 0.000
0.000 0.000 7.560
Ca Cs Li
4 4 2
Cartesian
5.819 7.485 0.000
3.050 1.385 0.000
1.385 5.819 0.000
7.485 3.050 0.000
1.594 2.841 3.780
7.275 6.029 3.780
2.841 7.275 3.780
6.029 1.594 3.780
0.000 0.000 0.000
4.435 4.435 0.000
```

ΔH_f (0 K): 0.28 eV per atom
size of the total moment: 0.000 μB/atom
density of states at the Fermi level: 13.44 states/eV/cell
calculated volume: 594.70 Å³/cell

***

8.
A plane-wave DFT calculation with PBE was carried out for a relaxed structure of Ac3Cd2Ir.

POSCAR file:
```
Ac3Cd2Ir
1.0
-4.997 -2.738 1.015
2.097 -0.848 8.043
-1.206 8.788 1.265
Cd Ac Ir
4 6 2
Cartesian
-3.479 1.437 3.251
-0.627 3.766 7.072
-2.430 1.014 7.272
-1.676 4.189 3.051
-1.974 -1.581 2.518
0.096 1.482 4.472
-4.202 3.721 5.851
1.145 1.059 8.493
-0.926 -2.004 6.539
-5.251 4.144 1.830
0.524 -0.212 2.011
-3.424 -3.373 7.047
```

ΔH_f (0 K): -0.42 eV per atom
size of the total moment: 0.000 μB/atom
density of states at the Fermi level: 9.27 states/eV/cell
calculated volume: 410.07 Å³/cell

***

9.
A plane-wave DFT calculation with PBE was carried out for a relaxed structure of InGa4Ge.

POSCAR file:
```
InGa4Ge
1.0
5.611 0.000 0.000
2.806 4.859 0.000
2.806 1.620 4.582
Ge In Ga
1 1 4
Cartesian
2.806 1.620 1.145
0.000 0.000 0.000
5.611 3.240 0.581
4.215 4.046 2.861
5.611 1.627 2.861
7.008 4.046 2.861
```

ΔH_f (0 K): 0.14 eV per atom
size of the total moment: 0.000 μB/atom
density of states at the Fermi level: 2.46 states/eV/cell
calculated volume: 124.93 Å³/cell

***

10.
A plane-wave DFT calculation with PBE was carried out for a relaxed structure of NaPdPb3.

POSCAR file:
```
NaPdPb3
1.0
-3.832 -1.569 1.809
3.707 -9.078 -0.022
4.650 1.871 11.473
Na Pb Pd
4 12 4
Cartesian
0.616 -2.939 7.221
-0.161 -2.190 0.582
4.686 -6.586 12.679
3.909 -5.837 6.040
0.863 -6.309 4.822
6.010 -6.807 9.649
2.691 -5.531 9.368
1.559 -5.451 1.396
3.662 -2.467 8.438
1.834 -3.245 3.892
1.255 -0.288 5.231
1.308 -0.802 10.539
3.218 -7.974 2.721
3.270 -8.488 8.029
2.967 -3.325 11.865
-1.485 -1.969 3.611
5.176 -4.159 10.179
2.403 0.010 7.920
-0.651 -4.617 3.081
2.123 -8.786 5.341
```

ΔH_f (0 K): -0.17 eV per atom
energy relative to the lowest polymorph listed for this composition: 0.00 eV/f.u.
size of the total moment: 0.000 μB/atom
density of states at the Fermi level: 6.68 states/eV/cell
calculated volume: 554.77 Å³/cell

***

11.
A plane-wave DFT calculation with PBE was carried out for a relaxed structure of BaPm2S4.

POSCAR file:
```
BaPm2S4
1.0
-3.709 1.441 -1.147
-1.153 -5.837 3.871
-0.551 7.752 11.525
S Ba Pm
8 2 4
Cartesian
-1.893 4.494 11.772
-0.479 1.358 3.255
-3.672 0.999 5.655
-1.741 2.357 8.594
-1.854 0.720 -0.573
-3.520 -1.139 2.477
-4.934 1.998 10.994
-2.130 4.596 5.189
-2.477 -2.042 5.446
-2.936 5.397 8.803
-1.044 1.975 5.860
-0.844 -0.843 1.670
-4.369 1.380 8.389
-4.569 4.199 12.579
```

energy relative to the lowest polymorph listed for this composition: 0.16 eV/f.u.
size of the total moment: 0.000 μB/atom
formation energy from raw total energies: -2088.7 meV per atom
calculated volume: 390.79 Å³/cell

***

12.
A plane-wave DFT calculation with PBE was carried out for a relaxed structure of Ti4AlSnH.

POSCAR file:
```
Ti4AlSnH
1.0
-4.921 2.003 -1.105
-2.007 -5.050 -0.218
0.940 -0.712 7.851
H Ti Al Sn
2 8 2 2
Cartesian
-3.591 -0.141 2.409
-2.397 -3.617 4.119
-4.245 -0.016 5.550
-1.991 0.646 3.373
-1.743 -3.742 0.978
0.470 -0.356 3.925
-3.176 -0.220 0.421
-0.534 -2.881 3.816
-2.994 -1.879 3.264
-2.812 -3.538 6.107
-4.309 -2.720 0.934
-1.679 -1.038 5.594
-5.158 -2.558 5.005
-0.830 -1.200 1.522
```

size of the total moment: 0.000 μB/atom
density of states at the Fermi level: 15.04 states/eV/cell
calculated volume: 220.18 Å³/cell

***

In order of appearance, total DFT energy (no corrections) = -6.913 -3.168 -3.863 -1.914 -4.241 -2.657 -1.248 -4.254 -3.101 -3.698 -6.079 -6.397 eV/atom.